First-principles (SCAN) data for a PBEsol-optimized structure of FeAgOs2, as listed in Alexandria via LeMat-Bulk.

abc: 2.6749 2.6749 26.6047
angles: 90.00 90.00 120.00
Space group R-3m (No. 166, hexagonal axes)
Unique sites:
1 Fe 0.0000 0.0000 0.0000
2 Ag 0.0000 0.0000 0.5000
3 Os 0.0000 0.0000 0.2585

Output
E_form: 0.35 eV per atom
relative energy among the computed polymorphs: 0.000 eV per atom
magnetization: 2.21 μB/f.u.